A relaxed structure of PaBe4B2, computed with PBE.

abc: 3.3658 3.3715 6.4315
angles: 105.20 90.00 90.00
With the nearest neighbours (Å) after each atom.
Atoms (fractional coordinates):
Pa (0.0000, 0.0000, 0.0000)  8 B 2.77, 8 Be 2.88-2.91
Be (0.5000, 0.8086, 0.6172)  2 B 1.94
Be (0.0000, 0.6881, 0.3761)  2 B 1.92
Be (0.5000, 0.1914, 0.3828)  2 B 1.94
Be (0.0000, 0.3119, 0.6239)  2 B 1.92
B (0.5000, 0.6144, 0.2288)  4 Be 1.92-1.94
B (0.5000, 0.3856, 0.7712)  4 Be 1.92-1.94

* total DFT energy (no corrections): -5.600 eV per atom
* DFT formation energy: -0.21 eV/atom
* symmetry: Cmmm, No. 65
* volume: 10.06 Å³ per atom